[1]
A plane-wave DFT calculation with PBE was carried out for Ho5ErTm4 after structural relaxation.

abc: 3.5101 9.8591 10.5134
angles: 103.55 120.09 90.06
Sites, in units of the cell vectors:
Ho  0.0987  0.5998  0.3992
Ho  0.0991  0.0998  0.3991
Ho  0.9009  0.9002  0.6009
Ho  0.5000  0.5000  0.0000
Ho  0.9013  0.4002  0.6008
Er  0.5000  0.0000  0.0000
Tm  0.2997  0.8001  0.1996
Tm  0.7006  0.7003  0.8004
Tm  0.7003  0.1999  0.8004
Tm  0.2994  0.2997  0.1996

Calculated values
Calculated formation energy ... 0.02 eV per atom
Relative energy among the computed polymorphs ... 25 meV/atom



[2]
A plane-wave DFT calculation with PBE was carried out for YVRu2W after structural relaxation.

abc: 4.6701 5.1671 4.6701
angles: 90.00 90.00 90.00
Each line ends with the local moment (μB).
Sites, in units of the cell vectors:
Y  0.0000  0.5000  0.0000  0.04
Ru  0.0000  0.0000  0.5000  0.12
Ru  0.5000  0.0000  0.0000  0.13
W  0.0000  0.0000  0.0000  -0.01
V  0.5000  0.5000  0.5000  -0.34

Calculated values
Calculated formation energy ... 1.56 eV per atom



[3]
A plane-wave DFT calculation with PBE was carried out for Ac2HoAl3Au4 after structural relaxation.

abc: 4.6403 4.6403 11.0270
angles: 90.00 90.00 90.00
Sites, in units of the cell vectors:
Ac  0.5000  0.0000  0.2302
Ac  0.0000  0.5000  0.7698
Ho  0.5000  0.5000  0.5000
Al  0.0000  0.0000  0.5000
Al  0.5000  0.0000  0.8829
Al  0.0000  0.5000  0.1171
Au  0.5000  0.5000  0.0000
Au  0.0000  0.0000  0.0000
Au  0.5000  0.0000  0.6506
Au  0.0000  0.5000  0.3494

Calculated values
Calculated formation energy ... -0.71 eV per atom



Record-wise M_tot values, in Bohr magnetons per cell: 0.00; 0.08; 0.00